Here is crystalline ZrZn2Sb at its relaxed geometry from the Alexandria database. Energies are from PBEsol.

Cell: 3.9745 3.9745 5.3711 Å, 111.71 111.71 90.00°
Last column: nearest neighbours and their distance in Å.
Fractional positions:
Sb 0.0000 0.0000 0.0000  8 Zn 2.81-3.03, 4 Zr 3.03
Zn 0.2500 0.7500 0.5000  4 Zr 2.81, 4 Sb 3.03, 4 Zn 3.03
Zn 0.5000 0.5000 0.0000  4 Sb 2.81, 4 Zr 3.03, 4 Zn 3.03
Zr 0.7500 0.2500 0.5000  8 Zn 2.81-3.03, 4 Sb 3.03

electronic total energy	-4.56	eV/atom
formation energy (no corrections)	-0.3582	eV per atom
total moment	0.00	μB/atom